This record from the Alexandria database describes a relaxed Ac2La2Se2S3 crystal. The functional is PBE.

a b c (Å): 5.7279 5.7279 8.8258
angles (deg): 108.94 108.94 90.00
Fractional coordinates of all 9 atoms:
S: 0.0000 0.0000 0.0000
S: 0.7500 0.2500 0.5000
S: 0.2500 0.7500 0.5000
Se: 0.6003 0.6003 0.2005
Se: 0.3997 0.3997 0.7995
La: 0.5000 0.0000 0.0000
La: 0.0000 0.5000 0.0000
Ac: 0.7974 0.7974 0.5947
Ac: 0.2026 0.2026 0.4053

Results
- density of states at the Fermi level (states/eV/cell) = 4.2
- ΔE_f (raw) (kJ/mol of atoms) = -177